Here is a geometry-optimized Nd4Sm2Sb3N2 structure from Alexandria via LeMat-Bulk. Energies are from GGA-PBE.

M_tot: 0.00 μB per cell
Space group: I4/mmm, No. 139
Total DFT energy (no corrections): -70.0 eV/cell
Formation energy (no corrections): -12.46 eV/f.u.
Crystal system: tetragonal

Cell and atoms, written as POSCAR:
```
Nd4Sm2Sb3N2
1.0
4.809 0.000 0.000
0.000 4.809 0.000
-2.405 -2.405 12.977
N Sm Sb Nd
2 2 3 4
Cartesian
2.405 2.405 2.744 N
0.000 0.000 10.233 N
0.000 0.000 7.962 Sm
2.405 2.405 5.015 Sm
2.405 2.405 8.312 Sb
0.000 0.000 0.000 Sb
0.000 0.000 4.665 Sb
0.000 2.405 2.166 Nd
0.000 2.405 10.811 Nd
2.405 0.000 10.811 Nd
2.405 0.000 2.166 Nd
```